1.
YBeTlNi | OQMD via LeMat-Bulk | GGA-PBE | optimized geometry; space group = F-43m, No. 216; magnetic moment = 0.0 μB/cell
1.0
0.000 3.302 3.302
3.302 0.000 3.302
3.302 3.302 0.000
Y Be Ni Tl
1 1 1 1
Direct
0.000 0.000 0.000
0.750 0.750 0.750
0.500 0.500 0.500
0.250 0.250 0.250

---

2.
LaHf2Hg2 | OQMD via LeMat-Bulk | GGA-PBE | optimized geometry; space group = I4/mmm, No. 139; ΔH_f (0 K) = -0.012 eV per atom; magnetic moment = 0.0 μB/cell
1.0
3.154 -3.154 0.000
3.154 3.154 0.000
-3.154 0.000 6.517
La Hf Hg
1 2 2
Direct
0.000 0.000 0.000
0.750 0.250 0.500
0.250 0.750 0.500
0.607 0.607 0.213
0.393 0.393 0.787

---

3.
TbCdSbI2 | OQMD via LeMat-Bulk | GGA-PBE | optimized geometry; space group = P3m1, No. 156; magnetic moment = 0.0 μB/cell
1.0
-3.245 1.986 2.203
1.905 -3.597 1.661
7.301 6.238 5.132
I Cd Sb Tb
2 1 1 1
Direct
0.667 0.333 0.673
0.333 0.667 0.319
0.667 0.333 0.154
0.000 0.000 0.004
0.333 0.667 0.851

---

4.
DyGeAsO | OQMD via LeMat-Bulk | GGA-PBE | optimized geometry; space group = Pmc2_1, No. 26; magnetic moment = 0.0 μB/cell
1.0
3.814 0.000 0.000
0.000 6.225 0.000
0.000 0.000 6.992
O Ge As Dy
2 2 2 2
Direct
0.500 0.237 0.314
0.500 0.763 0.814
0.500 0.386 0.076
0.500 0.614 0.576
0.000 0.781 0.394
0.000 0.219 0.894
0.000 0.246 0.470
0.000 0.754 0.970

---

5.
Li2Cd2In2AgPd | OQMD via LeMat-Bulk | GGA-PBE | optimized geometry; space group = P-4m2, No. 115
1.0
-2.544 3.822 0.965
-3.213 -1.345 -3.142
-3.227 -3.342 4.731
Cd Li In Pd Ag
2 2 2 1 1
Direct
0.000 0.500 0.256
0.500 0.000 0.744
0.000 0.000 0.500
0.500 0.500 0.000
0.500 0.000 0.260
0.000 0.500 0.740
0.500 0.500 0.500
0.000 0.000 0.000

---

6.
Zr4InSnB2 | OQMD via LeMat-Bulk | GGA-PBE | optimized geometry; space group = P-6m2, No. 187; magnetic moment = 0.0 μB/cell
1.0
-2.744 2.009 -0.653
-0.454 -3.313 0.899
-0.521 4.036 14.602
B Zr In Sn
2 4 1 1
Direct
0.333 0.667 0.253
0.333 0.667 0.747
0.667 0.333 0.833
0.667 0.333 0.167
0.000 0.000 0.338
0.000 0.000 0.662
0.000 0.000 0.000
0.667 0.333 0.500

---

7.
ScIn2Cu | OQMD via LeMat-Bulk | GGA-PBE | optimized geometry; space group = F-43m, No. 216; magnetic moment = 0.0 μB/cell
1.0
-0.758 -4.057 -2.539
-1.899 -3.896 2.168
-4.521 -1.393 -1.048
In Cu Sc
2 1 1
Direct
0.750 0.750 0.750
0.000 0.000 0.000
0.250 0.250 0.250
0.500 0.500 0.500

---

8.
ThGaNi | OQMD via LeMat-Bulk | GGA-PBE | optimized geometry; space group = P-62m, No. 189; magnetic moment = 0.0 μB/cell
1.0
-2.321 0.523 -7.674
7.661 -1.642 1.777
-0.683 -3.199 -0.012
Ga Th Ni
3 3 3
Direct
0.333 0.667 0.000
0.000 0.000 0.500
0.667 0.333 0.000
0.000 0.298 0.000
0.702 0.702 0.000
0.298 0.000 0.000
0.624 0.000 0.500
0.376 0.376 0.500
0.000 0.624 0.500

---

9.
Ta2Mo4Au3N3 | OQMD via LeMat-Bulk | GGA-PBE | optimized geometry; space group = C2/c, No. 15; magnetic moment = 0.0 μB/cell
1.0
-2.700 2.713 3.907
-2.155 -2.753 4.206
12.822 1.504 4.110
Mo Au N Ta
8 6 6 4
Direct
0.691 0.877 0.577
0.953 0.825 0.423
0.047 0.175 0.577
0.123 0.309 0.923
0.825 0.953 0.923
0.175 0.047 0.077
0.309 0.123 0.423
0.877 0.691 0.077
0.422 0.223 0.757
0.944 0.056 0.250
0.578 0.777 0.243
0.056 0.944 0.750
0.777 0.578 0.743
0.223 0.422 0.257
0.000 0.500 0.500
0.652 0.200 0.500
0.500 0.000 0.000
0.200 0.652 0.000
0.348 0.800 0.500
0.800 0.348 0.000
0.651 0.474 0.408
0.349 0.526 0.592
0.526 0.349 0.092
0.474 0.651 0.908

---

10.
NbTl2Co | OQMD via LeMat-Bulk | GGA-PBE | optimized geometry; space group = F-43m, No. 216; magnetic moment = 0.0 μB/cell
1.0
0.000 3.397 3.397
3.397 0.000 3.397
3.397 3.397 0.000
Tl Co Nb
2 1 1
Direct
0.750 0.750 0.750
0.000 0.000 0.000
0.500 0.500 0.500
0.250 0.250 0.250

---

11.
ScCuBiPt | OQMD via LeMat-Bulk | GGA-PBE | optimized geometry; space group = F-43m, No. 216; magnetic moment = 0.0 μB/cell
1.0
0.000 3.365 3.365
3.365 0.000 3.365
3.365 3.365 0.000
Sc Bi Pt Cu
1 1 1 1
Direct
0.500 0.500 0.500
0.000 0.000 0.000
0.250 0.250 0.250
0.750 0.750 0.750

---

12.
BaErNO | OQMD via LeMat-Bulk | GGA-PBE | optimized geometry; space group = Pca2_1, No. 29; magnetic moment = 0.0 μB/cell
1.0
5.823 0.000 0.000
0.000 6.922 0.000
0.000 0.000 8.322
Er O N Ba
4 4 4 4
Direct
0.493 0.588 0.107
0.993 0.412 0.893
0.993 0.912 0.107
0.493 0.088 0.893
0.945 0.046 0.345
0.945 0.546 0.655
0.445 0.954 0.655
0.445 0.454 0.345
0.373 0.894 0.090
0.873 0.606 0.090
0.373 0.394 0.910
0.873 0.106 0.910
0.987 0.924 0.645
0.987 0.424 0.355
0.487 0.576 0.645
0.487 0.076 0.355

---

| no. | raw total energy (eV for the cell shown) | V (Å³/atom) |
| --- | --- | --- |
| 1 | -17.59 | 17.99 |
| 2 | -25.49 | 25.93 |
| 3 | -16.54 | 36.44 |
| 4 | -48.71 | 20.75 |
| 5 | -21.73 | 18.24 |
| 6 | -58.47 | 19.67 |
| 7 | -15.86 | 20.11 |
| 8 | -48.00 | 20.32 |
| 9 | -208.73 | 14.30 |
| 10 | -18.76 | 19.60 |
| 11 | -21.90 | 19.04 |
| 12 | -111.27 | 20.97 |